# 1
The following is a DFT calculation (PBE) of a relaxed structure of CrTc2Pt.

Values from the calculation:
* D(E_F): 3.81 states/eV/f.u.
* calculated volume: 14.15 Å³/atom
* total magnetization: 0.68 μB per formula unit
* theoretical density: 13.00 g/cm³
* electronic total energy: -36.58 eV for the cell shown

abc: 4.721 4.721 4.721
angles: 132.20 132.20 69.91
Positions (direct):
Pt: 0.750 0.250 0.500
Cr: 0.250 0.750 0.500
Tc: 0.000 0.000 0.000
Tc: 0.500 0.500 0.000

=====

# 2
The following is a DFT calculation (PBE) of a relaxed structure of Nb2FeCuN.

Values from the calculation:
* formation energy from raw total energies: 1.59 eV per atom
* D(E_F): 4.28 states/eV/f.u.
* calculated volume: 17.02 Å³/atom
* total magnetization: 0.00 μB per formula unit
* theoretical density: 6.23 g/cm³
* electronic total energy: -33.05 eV for the cell shown

abc: 4.473 4.253 4.473
angles: 90.00 90.00 90.00
Positions (direct):
Cu: 0.000 0.500 0.000
N: 0.500 0.500 0.500
Fe: 0.000 0.000 0.000
Nb: 0.500 0.000 0.000
Nb: 0.000 0.000 0.500

=====

# 3
The following is a DFT calculation (PBE) of a relaxed structure of MnBeTcPd2.

Values from the calculation:
* D(E_F): 5.14 states/eV/f.u.
* calculated volume: 20.32 Å³/atom
* total magnetization: 1.69 μB per formula unit
* theoretical density: 6.13 g/cm³
* electronic total energy: -26.34 eV for the cell shown

abc: 4.845 4.328 4.845
angles: 90.00 90.00 90.00
Positions (direct):
Be: 0.500 0.500 0.500
Pd: 0.500 0.000 0.000
Pd: 0.000 0.000 0.500
Mn: 0.000 0.500 0.000
Tc: 0.000 0.000 0.000

=====

# 4
The following is a DFT calculation (PBE) of a relaxed structure of AsRuS3.

Values from the calculation:
* formation energy from raw total energies: 0.57 eV per atom
* D(E_F): 6.58 states/eV/f.u.
* calculated volume: 19.28 Å³/atom
* total magnetization: 0.00 μB per formula unit
* theoretical density: 4.69 g/cm³
* electronic total energy: -23.44 eV for the cell shown

abc: 4.585 4.585 4.585
angles: 90.00 90.00 90.00
Positions (direct):
S: 0.500 0.000 0.000
S: 0.000 0.500 0.000
S: 0.000 0.000 0.500
As: 0.500 0.500 0.500
Ru: 0.000 0.000 0.000

=====

# 5
The following is a DFT calculation (PBE) of a relaxed structure of ReSbCl2.

Values from the calculation:
* formation energy from raw total energies: 1.21 eV per atom
* D(E_F): 3.35 states/eV/f.u.
* calculated volume: 18.98 Å³/atom
* total magnetization: 0.00 μB per formula unit
* theoretical density: 8.29 g/cm³
* electronic total energy: -15.42 eV for the cell shown

abc: 4.960 4.960 3.085
angles: 90.00 90.00 90.00
Positions (direct):
Cl: 0.500 0.500 0.000
Cl: 0.000 0.000 0.000
Sb: 0.000 0.500 0.500
Re: 0.500 0.000 0.500

=====

# 6
The following is a DFT calculation (PBE) of a relaxed structure of CaBe2H6.

Values from the calculation:
* D(E_F): 3.34 states/eV/f.u.
* calculated volume: 7.98 Å³/atom
* total magnetization: 0.00 μB per formula unit
* theoretical density: 1.48 g/cm³
* electronic total energy: -20.09 eV for the cell shown

abc: 4.666 4.667 4.667
angles: 60.00 60.00 60.00
Positions (direct):
H: 0.314 0.686 0.314
H: 0.686 0.314 0.314
H: 0.686 0.314 0.686
H: 0.686 0.686 0.314
H: 0.314 0.686 0.686
H: 0.314 0.314 0.686
Be: 0.750 0.750 0.750
Be: 0.250 0.250 0.250
Ca: 0.000 0.000 0.000

=====

# 7
The following is a DFT calculation (PBE) of a relaxed structure of InCoSn3.

Values from the calculation:
* D(E_F): 2.14 states/eV/f.u.
* calculated volume: 22.85 Å³/atom
* total magnetization: 0.00 μB per formula unit
* theoretical density: 7.70 g/cm³
* electronic total energy: -43.62 eV for the cell shown

abc: 6.739 6.739 6.754
angles: 103.17 121.42 104.42
Positions (direct):
Sn: 0.720 0.442 0.163
Sn: 0.228 0.434 0.270
Sn: 0.836 0.042 0.270
Sn: 0.164 0.958 0.730
Sn: 0.280 0.558 0.837
Sn: 0.772 0.566 0.730
In: 0.287 0.949 0.235
In: 0.713 0.051 0.765
Co: 0.368 0.258 0.626
Co: 0.632 0.742 0.374

=====

# 8
The following is a DFT calculation (PBE) of a relaxed structure of KSrAs2.

Values from the calculation:
* D(E_F): 3.17 states/eV/f.u.
* calculated volume: 28.54 Å³/atom
* total magnetization: 0.00 μB per formula unit
* theoretical density: 4.02 g/cm³
* electronic total energy: -13.61 eV for the cell shown

abc: 5.445 5.445 5.445
angles: 60.00 60.00 60.00
Positions (direct):
Sr: 0.500 0.500 0.500
As: 0.750 0.750 0.750
As: 0.250 0.250 0.250
K: 0.000 0.000 0.000